No. 1
TbTiNiRu, optimized geometry, DFT PBE; D(E_F) = 3.68 states/eV/cell; space group = No. 216; ΔE_f = -0.3046 eV per atom
1.0
-2.4710 3.7822 0.7031
-2.9165 1.4543 -3.2069
-4.5077 -0.3113 0.6990
Ti Ru Ni Tb
1 1 1 1
Direct
0.2500 0.2500 0.2500 Ti
0.5000 0.5000 0.5000 Ru
0.0000 0.0000 0.0000 Ni
0.7500 0.7500 0.7500 Tb

---

No. 2
TbYNiRu, optimized geometry, DFT PBE; D(E_F) = 2.70 states/eV/cell; distance to the lowest polymorph of the same formula = 0 meV/atom; space group = No. 216; ΔE_f = -0.3619 eV per atom
1.0
4.8162 0.0000 0.0000
2.4081 4.1709 0.0000
2.4081 1.3903 3.9324
Y Ni Tb Ru
1 1 1 1
Direct
0.7500 0.7500 0.7500 Y
0.5000 0.5000 0.5000 Ni
0.2500 0.2500 0.2500 Tb
0.0000 0.0000 0.0000 Ru

---

No. 3
TbYNiRu, optimized geometry, DFT PBE; D(E_F) = 2.74 states/eV/cell; distance to the lowest polymorph of the same formula = 8 meV/atom; space group = No. 47; ΔE_f = -0.3537 eV per atom
1.0
-3.2730 -0.8045 -0.5635
0.6089 -4.1352 2.3672
-1.2428 2.1731 4.1158
Tb Y Ni Ru
1 1 1 1
Direct
0.5000 0.5000 0.0000 Tb
0.5000 0.0000 0.5000 Y
0.0000 0.5000 0.5000 Ni
0.0000 0.0000 0.0000 Ru

---

No. 4
TbZnNiRu, optimized geometry, DFT PBE; D(E_F) = 2.66 states/eV/cell; space group = No. 216; ΔE_f = -0.1528 eV per atom
1.0
-1.9212 1.9932 3.5641
1.0158 -1.3782 4.1755
2.4631 2.6373 2.7101
Ni Zn Tb Ru
1 1 1 1
Direct
0.2500 0.2500 0.2500 Ni
0.0000 0.0000 0.0000 Zn
0.5000 0.5000 0.5000 Tb
0.7500 0.7500 0.7500 Ru

---

No. 5
Tb4ZnNiRu2, optimized geometry, DFT PBE; D(E_F) = 4.56 states/eV/cell; space group = No. 166; ΔE_f = -0.3626 eV per atom
1.0
4.8740 0.0000 0.0000
2.4370 4.2210 0.0000
2.4370 1.4070 7.9819
Tb Ru Ni Zn
4 2 1 1
Direct
0.1274 0.1274 0.6178 Tb
0.6218 0.6218 0.1345 Tb
0.3782 0.3782 0.8655 Tb
0.8726 0.8726 0.3822 Tb
0.7492 0.7492 0.7524 Ru
0.2508 0.2508 0.2476 Ru
0.5000 0.5000 0.5000 Ni
0.0000 0.0000 0.0000 Zn

---

No. 6
TbZrNiRu, optimized geometry, DFT PBE; D(E_F) = 2.68 states/eV/cell; space group = No. 216; ΔE_f = -0.3812 eV per atom
1.0
4.7078 0.0000 0.0000
2.3539 4.0771 0.0000
2.3539 1.3590 3.8439
Zr Ni Ru Tb
1 1 1 1
Direct
0.0000 0.0000 0.0000 Zr
0.2500 0.2500 0.2500 Ni
0.7500 0.7500 0.7500 Ru
0.5000 0.5000 0.5000 Tb

---

No. 7
TcNiRu2, optimized geometry, DFT PBE; D(E_F) = 4.80 states/eV/cell; distance to the lowest polymorph of the same formula = 34 meV/atom; space group = No. 139; ΔE_f = 0.0864 eV per atom
1.0
-1.3116 3.7502 2.2912
-3.9774 -0.9136 2.0928
3.9821 -2.2752 -0.0238
Ru Tc Ni
2 1 1
Direct
0.0000 0.0000 0.0000 Ru
0.5000 0.5000 0.0000 Ru
0.2500 0.7500 0.5000 Tc
0.7500 0.2500 0.5000 Ni

---

No. 8
TcNiRu3, optimized geometry, DFT PBE; D(E_F) = 6.57 states/eV/cell; distance to the lowest polymorph of the same formula = 203 meV/atom; space group = No. 221; ΔE_f = 1.8566 eV per atom
1.0
-2.6534 3.5620 -1.2095
-3.0129 -2.8986 -1.9267
-2.2524 -0.3190 4.0020
Ru Ni Tc
3 1 1
Direct
0.0000 0.0000 0.5000 Ru
0.5000 0.0000 0.0000 Ru
0.0000 0.5000 0.0000 Ru
0.5000 0.5000 0.5000 Ni
0.0000 0.0000 0.0000 Tc

---

No. 9
TcNi2Ru, optimized geometry, DFT PBE; D(E_F) = 6.32 states/eV/cell; distance to the lowest polymorph of the same formula = 25 meV/atom; space group = No. 25; ΔE_f = 0.0445 eV per atom
1.0
-2.4245 -1.0444 0.2518
1.0043 -2.8478 -2.1408
1.5530 -2.5968 4.1829
Ru Tc Ni
1 1 2
Direct
0.0000 0.0000 0.4997 Ru
0.5000 0.5000 0.7522 Tc
0.5000 0.5000 0.2372 Ni
0.0000 0.0000 0.0109 Ni

---

No. 10
Tc3NiRu, optimized geometry, DFT PBE; D(E_F) = 9.33 states/eV/cell; distance to the lowest polymorph of the same formula = 1492 meV/atom; space group = No. 221; ΔE_f = 1.5664 eV per atom
1.0
4.3472 0.0000 0.0000
0.0000 4.3472 0.0000
0.0000 0.0000 4.3472
Tc Ru Ni
3 1 1
Direct
0.0000 0.0000 0.5000 Tc
0.0000 0.5000 0.0000 Tc
0.5000 0.0000 0.0000 Tc
0.5000 0.5000 0.5000 Ru
0.0000 0.0000 0.0000 Ni

---

No. 11
TcNiRu2, optimized geometry, DFT PBE; D(E_F) = 7.10 states/eV/cell; distance to the lowest polymorph of the same formula = 339 meV/atom; space group = No. 65; ΔE_f = 0.3913 eV per atom
1.0
2.6443 0.0043 0.0000
-1.1654 2.3736 0.0000
0.0000 0.0000 8.8278
Ru Tc Ni
2 1 1
Direct
0.0000 0.0000 0.9939 Ru
0.0000 0.0000 0.5061 Ru
0.5000 0.5000 0.2500 Tc
0.5000 0.5000 0.7500 Ni

---

No. 12
TcNi2Ru, optimized geometry, DFT PBE; D(E_F) = 4.77 states/eV/cell; distance to the lowest polymorph of the same formula = 0 meV/atom; space group = No. 119; ΔE_f = 0.0197 eV per atom
1.0
4.5376 -0.0014 -0.0023
1.5535 4.2637 0.0033
-3.0434 -2.1336 2.5989
Tc Ni Ru
1 2 1
Direct
0.7501 0.2499 0.5000 Tc
0.0002 0.9997 0.9999 Ni
0.2499 0.7501 0.5001 Ni
0.4998 0.5002 0.0000 Ru

---

No. 13
TcNi2Ru, optimized geometry, DFT PBE; D(E_F) = 4.03 states/eV/cell; distance to the lowest polymorph of the same formula = 229 meV/atom; space group = No. 225; ΔE_f = 0.2488 eV per atom
1.0
0.0000 2.9330 2.9330
2.9330 0.0000 2.9330
2.9330 2.9330 0.0000
Tc Ni Ru
1 2 1
Direct
0.0000 0.0000 0.0000 Tc
0.2500 0.2500 0.2500 Ni
0.7500 0.7500 0.7500 Ni
0.5000 0.5000 0.5000 Ru